1.
Here is an optimized crystal structure of K2HgCl from Alexandria via LeMat-Bulk. Energies are from GGA-PBEsol.

Calculated values
SG   No. 8
ΔE to the lowest computed polymorph   0.000 eV per atom

```
4
Lattice="3.788 0.000 0.000 0.000 4.045 -0.035 -1.894 -1.926 8.965" Properties=species:S:1:pos:R:3 pbc="T T T"
K 0.000 0.008 0.563
Hg 0.000 2.060 3.503
Cl 0.000 0.093 8.123
K 1.894 0.055 5.689
```

---

2.
Here is an optimized crystal structure of KHg5Cl11 from Alexandria via LeMat-Bulk. Energies are from GGA-PBEsol.

Calculated values
SG   No. 12

```
17
Lattice="6.428 0.097 0.133 -2.779 8.594 -0.059 -2.779 -2.682 8.165" Properties=species:S:1:pos:R:3 pbc="T T T"
Hg 3.378 3.058 0.218
Cl 1.998 5.653 4.825
Cl -1.087 3.891 5.335
K 0.000 0.000 0.000
Cl -1.313 0.269 7.039
Hg -2.508 6.736 5.262
Hg -2.508 2.952 8.022
Hg 3.378 -0.727 2.978
Cl -1.128 3.143 1.383
Cl 2.183 5.740 1.201
Cl 2.183 -0.611 5.833
Cl -1.313 6.620 2.407
Hg -2.779 2.956 4.053
Cl 3.214 0.049 0.067
Cl 1.998 2.867 6.857
Cl -1.128 0.356 3.415
Cl 1.957 2.119 2.905
```

---

3.
Here is an optimized crystal structure of K2HgCl from Alexandria via LeMat-Bulk. Energies are from GGA-PBEsol.

Calculated values
SG   No. 216
ΔE to the lowest computed polymorph   0.355 eV per atom

```
4
Lattice="-0.078 -5.022 -2.691 3.864 -3.984 1.290 -1.584 -4.706 2.796" Properties=species:S:1:pos:R:3 pbc="T T T"
K 1.652 -10.284 1.046
Cl 1.101 -6.856 0.697
K 0.000 0.000 0.000
Hg 0.551 -3.428 0.349
```

---

4.
Here is an optimized crystal structure of K2HgNCl from Alexandria via LeMat-Bulk. Energies are from GGA-PBEsol.

Calculated values
SG   No. 123

```
5
Lattice="4.733 0.000 0.000 0.000 5.327 0.000 0.000 0.000 5.327" Properties=species:S:1:pos:R:3 pbc="T T T"
N 0.000 0.000 0.000
Cl 2.367 0.000 0.000
K 0.000 0.000 2.663
K 0.000 2.663 0.000
Hg 2.367 2.663 2.663
```

---

Calculated values (eV for the cell shown) of final energy for the records, taken in order: -8.61; -38.72; -7.19; -12.57.
Calculated values (g/cm3) of mass density for the records, taken in order: 3.81; 5.21; 3.99; 4.06.